(1)
VASP calculation (GGA-PBE) on a relaxed structure of LaMnAg2.

Unit cell a=3.509 b=4.859 c=9.948 alpha=90.00 beta=90.00 gamma=90.00
Element x y z (fractional)
La 0.000 0.000 0.000
La 0.500 0.500 0.500
Mn 0.000 0.000 0.500
Mn 0.500 0.500 0.000
Ag 0.000 0.500 0.221
Ag 0.000 0.500 0.779
Ag 0.500 0.000 0.279
Ag 0.500 0.000 0.721

## Properties
Magnetic moment   5.6 μB/cell
Space-group type   Immm, No. 71
Total DFT energy (no corrections)   -4.81 eV/atom
Formation energy   0.1366 eV per atom

---

(2)
VASP calculation (GGA-PBE) on a relaxed structure of Y4PbSe2S.

Unit cell a=7.198 b=4.145 c=7.207 alpha=90.00 beta=109.42 gamma=90.00
Element x y z (fractional)
Y 0.242 0.000 0.234
Y 0.256 0.500 0.766
Y 0.744 0.500 0.234
Y 0.758 0.000 0.766
Pb 0.000 0.000 0.500
Se 0.500 0.000 0.000
Se 0.500 0.500 0.500
S 0.000 0.500 0.000

## Properties
Magnetic moment   0.0 μB/cell
Space-group type   P2/m, No. 10
Total DFT energy (no corrections)   -6.57 eV/atom
E_form (uncorrected)   -1.487 eV/atom

---

(3)
VASP calculation (GGA-PBE) on a relaxed structure of MgBeTl.

Unit cell a=3.762 b=3.763 c=10.571 alpha=90.25 beta=99.98 gamma=119.97
Element x y z (fractional)
Mg 0.000 0.000 0.000
Mg 0.192 0.099 0.291
Be 0.429 0.716 0.146
Be 0.762 0.382 0.145
Tl 0.178 0.591 0.772
Tl 0.676 0.841 0.521

## Properties
Magnetic moment   0.0 μB/cell
Distance to the lowest polymorph of the same formula   0.000 eV per atom
Space-group type   P1, No. 1
Total DFT energy (no corrections)   -2.39 eV/atom
Formation energy   0.1740 eV per atom